(1)
This record from Alexandria describes La2DyY3Te6 after structural relaxation. The functional is PBE.

Summary:
**Energy**: -69.5 eV/f.u.

Cell: 9.9192 9.9192 8.9239 Å, 103.13 103.13 25.70°
Fractional coordinates of all 12 atoms:
La: 0.1674 0.1674 0.3341
La: 0.8326 0.8326 0.6659
Dy: 0.5000 0.5000 0.0000
Y: 0.1713 0.1713 0.8346
Y: 0.5000 0.5000 0.5000
Y: 0.8287 0.8287 0.1654
Te: 0.0052 0.0052 0.7537
Te: 0.3360 0.3360 0.9291
Te: 0.3376 0.3376 0.4080
Te: 0.6624 0.6624 0.5920
Te: 0.6640 0.6640 0.0709
Te: 0.9948 0.9948 0.2463

(2)
This record from Alexandria describes La3DyY2Te6 after structural relaxation. The functional is PBE.

Summary:
**Energy**: -68.6 eV/f.u.

Cell: 10.0228 10.0228 9.0124 Å, 103.89 103.89 25.59°
Fractional coordinates of all 12 atoms:
La: 0.0000 0.0000 0.0000
La: 0.3332 0.3332 0.6666
La: 0.6668 0.6668 0.3334
Dy: 0.0000 0.0000 0.5000
Y: 0.3332 0.3332 0.1666
Y: 0.6668 0.6668 0.8334
Te: 0.1628 0.1628 0.5921
Te: 0.1702 0.1702 0.0744
Te: 0.4965 0.4965 0.2597
Te: 0.5035 0.5035 0.7403
Te: 0.8298 0.8298 0.9256
Te: 0.8372 0.8372 0.4079